(1)
{"formula": "Dy3Mg4Ni4", "functional": "PBE", "state": "relaxed", "sg": "Immm, No. 71", "ef_ev_per_atom": -0.248, "final_energy_ev_per_atom": -4.185, "magnetic_moment_mub_per_fu": 0.0, "lattice_angstrom": [[3.895, 0.000, 0.000], [0.000, 7.877, 0.000], [-1.948, -3.938, 6.982]], "species": ["Dy", "Dy", "Dy", "Mg", "Mg", "Mg", "Mg", "Ni", "Ni", "Ni", "Ni"], "fractional_positions": [[0.118, 0.118, 0.235], [0.882, 0.882, 0.765], [0.000, 0.500, 0.000], [0.329, 0.138, 0.658], [0.671, 0.480, 0.342], [0.671, 0.862, 0.342], [0.329, 0.520, 0.658], [0.233, 0.733, 0.465], [0.767, 0.267, 0.535], [0.500, 0.831, 0.000], [0.500, 0.169, 0.000]]}

***

(2)
{"formula": "SrGdRh4", "functional": "PBE", "state": "relaxed", "sg": "F-43m, No. 216", "ef_ev_per_atom": -0.492, "final_energy_ev_per_atom": -8.020, "magnetic_moment_mub_per_fu": 7.0, "lattice_angstrom": [[-4.998, -1.757, -1.132], [-1.141, -5.289, 0.285], [-3.175, -1.876, 3.969]], "species": ["Sr", "Gd", "Rh", "Rh", "Rh", "Rh"], "fractional_positions": [[0.000, 0.000, 0.000], [0.250, 0.250, 0.250], [0.625, 0.625, 0.126], [0.625, 0.126, 0.625], [0.625, 0.625, 0.625], [0.126, 0.625, 0.625]]}

***

(3)
{"formula": "Na8I3Br3O", "functional": "PBE", "state": "relaxed", "sg": "R-3m, No. 166", "raw_formation_energy_ev_per_atom": -1.355, "final_energy_ev_per_atom": -3.033, "magnetic_moment_mub_per_fu": 0.1, "lattice_angstrom": [[8.611, 0.000, 0.000], [-4.306, 7.457, -0.026], [0.000, -4.947, 7.264]], "species": ["Na", "Na", "Na", "Na", "Na", "Na", "Na", "Na", "I", "I", "I", "Br", "Br", "Br", "O"], "fractional_positions": [[0.258, 0.515, 0.273], [0.742, 0.485, 0.727], [0.810, 0.619, 0.318], [0.190, 0.381, 0.682], [0.810, 0.009, 0.318], [0.190, 0.991, 0.682], [0.199, 0.009, 0.318], [0.801, 0.991, 0.682], [0.000, 0.000, 0.000], [0.000, 0.500, 0.000], [0.500, 0.500, 0.000], [0.500, 0.000, 0.500], [0.500, 0.500, 0.500], [0.000, 0.500, 0.500], [0.000, 0.000, 0.500]]}

***

(4)
{"formula": "As2Pd2Rh", "functional": "PBE", "state": "relaxed", "sg": "P4/mbm, No. 127", "ef_ev_per_atom": -0.219, "final_energy_ev_per_atom": -5.626, "magnetic_moment_mub_per_fu": 0.0, "lattice_angstrom": [[6.434, 0.000, 0.000], [0.000, 6.434, 0.000], [0.000, 0.000, 3.890]], "species": ["As", "As", "As", "As", "Rh", "Rh", "Pd", "Pd", "Pd", "Pd"], "fractional_positions": [[0.356, 0.856, 0.000], [0.856, 0.644, 0.000], [0.644, 0.144, 0.000], [0.144, 0.356, 0.000], [0.000, 0.000, 0.000], [0.500, 0.500, 0.000], [0.161, 0.661, 0.500], [0.661, 0.839, 0.500], [0.839, 0.339, 0.500], [0.339, 0.161, 0.500]]}